No. 1
# TbMg2Tl

A relaxed structure of TbMg2Tl (PBE, Alexandria).

POSCAR file:
```
TbMg2Tl
1.0
-0.649 -3.825 -2.905
2.401 -2.581 2.862
-3.806 -1.055 2.240
Tl Tb Mg
1 1 2
Cartesian
-0.325 -1.912 -1.452
-1.027 -3.730 1.099
-1.903 -0.528 1.120
1.200 -1.290 1.431
```

Properties
space group = P4/mmm (123)
V = 99.9 Å³/cell
VASP energy = -2.767 eV per atom

---

No. 2
# Cd2IrBr

A relaxed structure of Cd2IrBr (PBE, Alexandria).

POSCAR file:
```
Cd2IrBr
1.0
-3.967 -2.212 2.140
2.319 -3.721 -2.446
1.778 -0.627 2.644
Ir Br Cd
1 1 2
Cartesian
-1.094 -1.419 2.392
2.049 -2.174 0.099
0.000 0.000 0.000
-0.824 -2.966 -0.153
```

Properties
formation energy without anion corrections = 0.2715 eV per atom
space group = Cmmm (65)
V = 79.3 Å³/cell
VASP energy = -2.820 eV per atom

---

No. 3
# TbPm2Pr2Ho2

A relaxed structure of TbPm2Pr2Ho2 (PBE, Alexandria).

POSCAR file:
```
TbPm2Pr2Ho2
1.0
-4.649 3.075 -1.467
-3.703 -2.060 -3.907
-7.074 -3.294 4.191
Tb Pm Pr Ho
1 2 2 2
Cartesian
0.000 0.000 0.000
-11.988 -2.063 -0.304
-3.439 -0.216 -0.878
-5.292 -1.785 1.707
-10.134 -0.493 -2.889
-6.771 -0.342 -1.905
-8.655 -1.937 0.722
```

Properties
space group = R-3m (166)
V = 236.2 Å³/cell
VASP energy = -4.562 eV per atom

---

No. 4
# FeReSb3

A relaxed structure of FeReSb3 (PBE, Alexandria).

POSCAR file:
```
FeReSb3
1.0
-4.398 0.315 -2.716
-0.031 -5.149 -0.548
-2.734 -0.450 4.375
Re Fe Sb
1 1 3
Cartesian
0.000 0.000 0.000
-3.581 -2.642 0.555
-0.015 -2.575 -0.274
-1.367 -0.225 2.188
-2.199 0.158 -1.358
```

Properties
formation energy without anion corrections = 1.1807 eV per atom
space group = Pm-3m (221)
V = 138.9 Å³/cell
VASP energy = -5.475 eV per atom

---

No. 5
# TmFe2PC

A relaxed structure of TmFe2PC (PBE, Alexandria).

POSCAR file:
```
TmFe2PC
1.0
-1.730 -0.446 -3.140
0.217 -4.789 2.639
-5.768 1.382 2.981
Tm Fe P C
2 4 2 2
Cartesian
-4.913 -3.504 3.204
-2.368 -0.350 -0.724
-5.658 -0.372 3.170
-1.623 -3.481 -0.689
-3.427 -0.907 2.017
-3.854 -2.947 0.464
-5.490 -1.499 1.159
-1.791 -2.354 1.321
0.000 0.000 0.000
-2.884 0.691 1.491
```

Properties
space group = Cmcm (63)
V = 123.9 Å³/cell
VASP energy = -7.928 eV per atom

---

No. 6
# Sr2Ga2Os

A relaxed structure of Sr2Ga2Os (PBE, Alexandria).

POSCAR file:
```
Sr2Ga2Os
1.0
6.877 0.000 0.000
0.000 6.877 0.000
0.000 0.000 5.131
Sr Os Ga
4 2 4
Cartesian
1.237 4.675 2.565
4.675 5.640 2.565
5.640 2.202 2.565
2.202 1.237 2.565
0.000 0.000 0.000
3.439 3.439 0.000
2.419 5.857 0.000
5.857 4.458 0.000
4.458 1.020 0.000
1.020 2.419 0.000
```

Properties
space group = P4/mbm (127)
V = 242.7 Å³/cell
VASP energy = -4.074 eV per atom